# 1
Here is crystalline BaLa3Os at its relaxed geometry from the Open Quantum Materials Database. Energies are from PBE.

Computed properties:
Distance to the lowest polymorph of the same formula: 0 meV/atom
Total DFT energy (no corrections): -5.676 eV/atom

extended XYZ file:
```
10
Lattice="6.379 0.000 0.000 0.000 8.465 0.000 0.000 0.000 7.120" Properties=species:S:1:pos:R:3 pbc="T T T"
Os 0.000 0.000 3.560
Os 3.190 0.000 3.560
Ba 1.595 4.232 5.834
Ba 4.784 4.232 1.287
La 1.595 0.000 5.938
La 1.595 6.422 2.373
La 4.784 6.422 4.747
La 1.595 2.043 2.373
La 4.784 2.043 4.747
La 4.784 0.000 1.183
```

=====

# 2
Here is crystalline BaLa3Os at its relaxed geometry from the Open Quantum Materials Database. Energies are from PBE.

Computed properties:
Distance to the lowest polymorph of the same formula: 34 meV/atom
Total DFT energy (no corrections): -5.642 eV/atom

extended XYZ file:
```
5
Lattice="5.791 0.000 0.000 0.000 5.791 0.000 0.000 0.000 5.791" Properties=species:S:1:pos:R:3 pbc="T T T"
La 2.895 2.895 0.000
La 2.895 0.000 2.895
La 0.000 2.895 2.895
Os 2.895 2.895 2.895
Ba 0.000 0.000 0.000
```

=====

# 3
Here is crystalline Ba2LaOsS6 at its relaxed geometry from the Open Quantum Materials Database. Energies are from PBE.

Computed properties:
Total DFT energy (no corrections): -5.769 eV/atom

extended XYZ file:
```
10
Lattice="7.057 0.000 0.000 3.461 6.180 0.000 3.389 2.037 5.973" Properties=species:S:1:pos:R:3 pbc="T T T"
Os 1.731 3.090 0.000
S 6.885 2.324 1.191
S 8.552 5.193 1.076
S 3.104 2.338 1.779
S 10.804 5.879 4.194
S 7.022 5.892 4.782
S 5.355 3.024 4.897
Ba 8.723 3.095 4.550
Ba 5.184 5.121 1.423
La 5.223 1.018 2.987
```

=====

# 4
Here is crystalline Ba2LaOsS6 at its relaxed geometry from the Open Quantum Materials Database. Energies are from PBE.

Computed properties:
Total DFT energy (no corrections): -5.770 eV/atom

extended XYZ file:
```
10
Lattice="-3.793 -4.321 4.164 -1.649 -6.539 -2.215 6.908 1.596 1.766" Properties=species:S:1:pos:R:3 pbc="T T T"
S -1.710 -4.183 2.724
S -0.706 -5.222 -0.264
S 2.172 -4.042 3.979
S -1.893 -7.430 1.949
S 3.360 -1.833 1.766
S 3.176 -5.081 0.991
Os -2.721 -5.430 0.975
La 3.454 0.798 0.883
Ba 0.300 -2.272 0.891
Ba 1.167 -6.992 2.824
```

=====

# 5
Here is crystalline BaLaSi4Os2 at its relaxed geometry from the Open Quantum Materials Database. Energies are from PBE.

Computed properties:
Total DFT energy (no corrections): -6.890 eV/atom

extended XYZ file:
```
8
Lattice="-1.696 -0.286 4.327 -0.747 -4.097 -0.564 8.242 -1.653 1.096" Properties=species:S:1:pos:R:3 pbc="T T T"
Si -0.919 -2.143 1.127
Si 1.370 -3.001 4.328
Si 4.857 -1.000 0.835
Si 7.038 -1.832 3.988
Os 7.099 -1.500 1.494
Os -0.986 -2.473 3.615
La 4.422 -3.381 3.049
Ba 1.811 -0.623 2.128
```

=====

# 6
Here is crystalline Ba2LaPdPt2Pb3 at its relaxed geometry from the Open Quantum Materials Database. Energies are from PBE.

Computed properties:
Total DFT energy (no corrections): -4.831 eV/atom

extended XYZ file:
```
9
Lattice="-2.258 1.649 -3.170 3.074 -5.824 -5.218 -7.070 -1.342 4.337" Properties=species:S:1:pos:R:3 pbc="T T T"
Pd -3.935 -7.058 -0.868
Ba -5.782 -3.773 2.155
Ba 0.120 -6.381 -3.403
Pt -1.778 -3.475 -3.359
Pt -4.583 -2.235 -0.716
Pb -3.422 -5.964 -3.482
Pb -2.100 -0.918 -1.799
Pb -5.816 -4.906 -1.227
La -2.325 -4.169 -0.512
```